[1]
Entry from Alexandria via LeMat-Bulk: an optimized crystal structure of MgAsIN2 (GGA-PBE).

Unit cell a=4.274 b=4.274 c=5.948 alpha=90.00 beta=90.00 gamma=90.00
Positions (direct):
Mg 0.000 0.000 0.000
As 0.500 0.500 0.500
I 0.000 0.000 0.500
N 0.000 0.500 0.000
N 0.500 0.000 0.000

Calculated values
Its calculated volume is 21.73 Å³ per atom. The calculation puts the formation energy without anion corrections at 1.406 eV per atom. The spin magnetization comes out at 2.81 μB/cell. The final energy is -17.4 eV/cell.

[2]
Entry from Alexandria via LeMat-Bulk: an optimized crystal structure of CrPAu (GGA-PBE).

Unit cell a=4.201 b=4.201 c=4.201 alpha=60.00 beta=60.00 gamma=60.00
Positions (direct):
Cr 0.000 0.000 0.000
P 0.250 0.250 0.250
Au 0.500 0.500 0.500

Calculated values
Its calculated volume is 17.48 Å³ per atom. As for the formation energy: 0.33 eV/f.u. The spin magnetization comes out at 3.99 μB/cell. The final energy is -18.0 eV/cell.

[3]
Entry from Alexandria via LeMat-Bulk: an optimized crystal structure of PmSmPdRh (GGA-PBE).

Unit cell a=4.496 b=5.710 c=5.710 alpha=39.18 beta=90.00 gamma=90.00
Positions (direct):
Pm 0.000 0.000 0.000
Sm 0.500 0.723 0.723
Pd 0.500 0.444 0.444
Rh 0.000 0.269 0.269

Calculated values
Its calculated volume is 23.15 Å³ per atom. As for the formation energy: -3.16 eV/f.u. The spin magnetization comes out at 0.00 μB/cell. The final energy is -25.2 eV/cell.

[4]
Entry from Alexandria via LeMat-Bulk: an optimized crystal structure of RbHg3Pt (GGA-PBE).

Unit cell a=5.401 b=5.727 c=10.741 alpha=100.22 beta=93.06 gamma=99.59
Positions (direct):
Rb 0.000 0.000 0.000
Rb 0.457 0.953 0.640
Hg 0.330 0.484 0.883
Hg 0.403 0.439 0.382
Hg 0.420 0.871 0.220
Hg 0.802 0.492 0.141
Hg 0.895 0.492 0.642
Hg 0.935 0.995 0.393
Pt 0.820 0.452 0.883
Pt 0.914 0.493 0.393

Calculated values
Its calculated volume is 32.13 Å³ per atom. As for the formation energy: -0.80 eV/f.u. The spin magnetization comes out at 0.00 μB/cell. The final energy is -17.4 eV/cell.

[5]
Entry from Alexandria via LeMat-Bulk: an optimized crystal structure of VPb2C2 (GGA-PBE).

Unit cell a=5.952 b=5.952 c=5.149 alpha=90.00 beta=90.00 gamma=90.00
Positions (direct):
V 0.000 0.000 0.000
V 0.500 0.500 0.000
Pb 0.187 0.313 0.500
Pb 0.313 0.813 0.500
Pb 0.687 0.187 0.500
Pb 0.813 0.687 0.500
C 0.249 0.749 0.000
C 0.251 0.249 0.000
C 0.749 0.751 0.000
C 0.751 0.251 0.000

Calculated values
Its calculated volume is 18.24 Å³ per atom. As for the formation energy: 6.41 eV/f.u. The spin magnetization comes out at 1.87 μB/cell. The final energy is -57.1 eV/cell.

[6]
Entry from Alexandria via LeMat-Bulk: an optimized crystal structure of CeYZn (GGA-PBE).

Unit cell a=8.586 b=8.586 c=5.149 alpha=90.00 beta=90.00 gamma=156.64
Positions (direct):
Ce 0.228 0.772 0.750
Ce 0.772 0.228 0.250
Y 0.077 0.923 0.250
Y 0.923 0.077 0.750
Zn 0.426 0.574 0.250
Zn 0.574 0.426 0.750

Calculated values
Its calculated volume is 25.09 Å³ per atom. As for the formation energy: -0.50 eV/f.u. The spin magnetization comes out at 0.98 μB/cell. The final energy is -28.3 eV/cell.

[7]
Entry from Alexandria via LeMat-Bulk: an optimized crystal structure of BiSb2Se (GGA-PBE).

Unit cell a=6.266 b=6.382 c=7.170 alpha=76.11 beta=86.53 gamma=84.73
Positions (direct):
Bi 0.000 0.000 0.000
Bi 0.468 0.311 0.543
Sb 0.505 0.933 0.056
Sb 0.517 0.460 0.109
Sb 0.535 0.862 0.469
Sb 0.990 0.204 0.573
Se 0.941 0.410 0.070
Se 0.963 0.826 0.489

Calculated values
Its calculated volume is 34.62 Å³ per atom. The calculation puts the formation energy without anion corrections at -0.015 eV per atom. The spin magnetization comes out at 0.00 μB/cell. The final energy is -31.3 eV/cell.

[8]
Entry from Alexandria via LeMat-Bulk: an optimized crystal structure of SbPbAuI2 (GGA-PBE).

Unit cell a=6.090 b=6.090 c=6.139 alpha=90.00 beta=90.00 gamma=90.00
Positions (direct):
Sb 0.000 0.000 0.000
Pb 0.000 0.000 0.500
Au 0.500 0.500 0.000
I 0.000 0.500 0.500
I 0.500 0.000 0.500

Calculated values
Its calculated volume is 45.53 Å³ per atom. The calculation puts the formation energy without anion corrections at 0.630 eV per atom. The spin magnetization comes out at 1.35 μB/cell. The final energy is -11.1 eV/cell.

[9]
Entry from Alexandria via LeMat-Bulk: an optimized crystal structure of Ba2PbI (GGA-PBE).

Unit cell a=12.393 b=12.393 c=12.393 alpha=19.97 beta=19.97 gamma=19.97
Positions (direct):
Ba 0.096 0.096 0.096
Ba 0.904 0.904 0.904
Pb 0.000 0.000 0.000
I 0.500 0.500 0.500

Calculated values
Its calculated volume is 48.56 Å³ per atom. The calculation puts the formation energy without anion corrections at -0.468 eV per atom. The spin magnetization comes out at 0.47 μB/cell. The final energy is -11.0 eV/cell.

[10]
Entry from Alexandria via LeMat-Bulk: an optimized crystal structure of FeTeMo2 (GGA-PBE).

Unit cell a=3.326 b=4.250 c=4.541 alpha=90.00 beta=90.00 gamma=90.00
Positions (direct):
Fe 0.000 0.000 0.000
Te 0.500 0.500 0.000
Mo 0.000 0.500 0.500
Mo 0.500 0.000 0.500

Calculated values
Its calculated volume is 16.05 Å³ per atom. The calculation puts the formation energy without anion corrections at 0.440 eV per atom. The spin magnetization comes out at 1.75 μB/cell. The final energy is -31.5 eV/cell.

[11]
Entry from Alexandria via LeMat-Bulk: an optimized crystal structure of Ac2DyZn3Ga4 (GGA-PBE).

Unit cell a=4.508 b=4.508 c=11.399 alpha=90.00 beta=90.00 gamma=90.00
Positions (direct):
Ac 0.000 0.500 0.231
Ac 0.500 0.000 0.769
Dy 0.000 0.000 0.500
Zn 0.000 0.500 0.879
Zn 0.500 0.000 0.121
Zn 0.500 0.500 0.500
Ga 0.000 0.000 0.000
Ga 0.000 0.500 0.655
Ga 0.500 0.000 0.345
Ga 0.500 0.500 0.000

Calculated values
Its calculated volume is 23.17 Å³ per atom. As for the formation energy: -4.47 eV/f.u. The spin magnetization comes out at 0.00 μB/cell. The final energy is -33.2 eV/cell.

[12]
Entry from Alexandria via LeMat-Bulk: an optimized crystal structure of LiNd2Pb3S6 (GGA-PBE).

Unit cell a=9.322 b=9.322 c=8.267 alpha=104.76 beta=104.76 gamma=26.17
Positions (direct):
Li 0.000 0.000 0.000
Nd 0.337 0.337 0.675
Nd 0.663 0.663 0.325
Pb 0.000 0.000 0.500
Pb 0.341 0.341 0.149
Pb 0.659 0.659 0.851
S 0.162 0.162 0.087
S 0.172 0.172 0.570
S 0.496 0.496 0.760
S 0.504 0.504 0.240
S 0.828 0.828 0.430
S 0.838 0.838 0.913

Calculated values
Its calculated volume is 25.49 Å³ per atom. The calculation puts the formation energy without anion corrections at -1.133 eV per atom. The spin magnetization comes out at 0.00 μB/cell. The final energy is -60.9 eV/cell.